[1]
Computed, not measured: a relaxed structure of Ho2Cd5Hg12 at the PBE level of DFT.

Calculated values
As for the symmetry: C2/m. The density of states at the Fermi level comes out at 0.372 states/eV per atom. Its calculated formation energy is -0.0869 eV per atom. Its energy above the most stable polymorph in this dataset is 12.7 meV/atom. Its theoretical density is 11.6 Mg/m³.

```
19
Lattice="7.4318 -4.8614 0.0000 7.4318 4.8614 0.0000 -0.4358 0.0000 6.5167" Properties=species:S:1:pos:R:3 pbc="T T T"
Ho 7.4318 2.4770 0.0000
Ho 7.4318 -2.4770 0.0000
Cd -0.2179 0.0000 3.2583
Cd 3.3462 0.0000 3.4045
Cd 4.9419 0.0000 0.6048
Cd 9.4860 0.0000 5.9119
Cd 11.0818 0.0000 3.1122
Hg 4.1632 2.5338 5.1961
Hg 1.4518 0.0000 5.9661
Hg 5.7092 2.2959 2.5947
Hg 8.7188 2.2959 3.9219
Hg 10.2647 2.5338 1.3206
Hg 6.4385 0.0000 4.6978
Hg 7.9894 0.0000 1.8188
Hg 4.1632 -2.5338 5.1961
Hg 5.7092 -2.2959 2.5947
Hg 8.7188 -2.2959 3.9219
Hg 12.9761 0.0000 0.5506
Hg 10.2647 -2.5338 1.3206
```

[2]
Computed, not measured: a relaxed structure of BeCdCl3 at the PBE level of DFT.

Calculated values
For the uncorrected formation energy, the calculation gives -0.05 eV per atom. As for the symmetry: Pm-3m. The density of states at the Fermi level comes out at 0.000 states/eV per atom. Its energy above the most stable polymorph in this dataset is 604.1 meV/atom. Its theoretical density is 2.7 Mg/m³.

```
5
Lattice="5.1717 0.0000 0.0000 0.0000 5.1717 0.0000 0.0000 0.0000 5.1717" Properties=species:S:1:pos:R:3 pbc="T T T"
Be 0.0000 0.0000 0.0000
Cd 2.5859 2.5859 2.5859
Cl 0.0000 2.5859 2.5859
Cl 2.5859 0.0000 2.5859
Cl 2.5859 2.5859 0.0000
```

[3]
Computed, not measured: a relaxed structure of SrZr2Hg at the PBE level of DFT.

Calculated values
As for the symmetry: Cm. The density of states at the Fermi level comes out at 0.894 states/eV per atom. Its calculated formation energy is 0.1916 eV per atom. Its theoretical density is 7.0 Mg/m³.

```
8
Lattice="10.6071 0.0000 0.0000 0.0000 3.3376 0.0000 -1.2566 0.0000 6.2672" Properties=species:S:1:pos:R:3 pbc="T T T"
Sr 0.0000 0.0000 0.0000
Sr 5.3036 1.6688 0.0000
Zr 1.5104 0.0000 3.9735
Zr 4.4474 0.0000 3.1780
Zr 6.8140 1.6688 3.9735
Zr 9.7510 1.6688 3.1780
Hg 2.4016 1.6688 1.5563
Hg 7.7052 0.0000 1.5563
```

[4]
Computed, not measured: a relaxed structure of Ba3C at the PBE level of DFT.

Calculated values
As for the symmetry: Pmm2. The density of states at the Fermi level comes out at 1.140 states/eV per atom. Its calculated formation energy is 0.6745 eV per atom. Its energy above the most stable polymorph in this dataset is 297.8 meV/atom. Its theoretical density is 4.0 Mg/m³.

```
4
Lattice="3.8457 0.0000 0.0000 0.0000 4.1350 0.0000 0.0000 0.0000 11.1078" Properties=species:S:1:pos:R:3 pbc="T T T"
Ba 0.0000 0.0000 0.0000
Ba 0.0000 2.0675 3.0972
Ba 1.9229 0.0000 6.8877
C 1.9229 2.0675 1.0999
```

Calculated total energy for every record listed, in sequence, given in eV per atom: -1.000, -2.090, -4.578, -3.074.